No. 1
Density functional theory data (PBEsol) for a geometry-optimized RuIO2F structure.

Properties
Its raw total energy is -5.25 eV per atom.

abc: 3.879 3.879 4.339
angles: 90.00 90.00 90.00
Space group P4/mmm (No. 123)
One atom of each set of equivalent atoms:
Ru  0.000  0.000  0.000 [1 per cell]
I  0.500  0.500  0.500 [1 per cell]
O  0.000  0.500  0.000 [2 per cell]
F  0.000  0.000  0.500 [1 per cell]

---

No. 2
Density functional theory data (PBEsol) for a geometry-optimized RuIO2F structure.

Properties
Its raw total energy is -4.21 eV per atom.

abc: 4.007 4.007 5.110
angles: 90.00 90.00 90.00
Space group P4/mmm (No. 123)
One atom of each set of equivalent atoms:
Ru  0.000  0.000  0.000 [1 per cell]
I  0.500  0.500  0.500 [1 per cell]
O  0.000  0.500  0.500 [2 per cell]
F  0.500  0.500  0.000 [1 per cell]

---

No. 3
Density functional theory data (PBEsol) for a geometry-optimized SIO3F structure.

Properties
Its raw total energy is -5.08 eV per atom.

abc: 5.691 11.884 13.560
angles: 90.00 90.00 90.00
Space group P2_12_12_1 (No. 19)
One atom of each set of equivalent atoms:
S  0.041  0.177  0.172 [4 per cell]
S  0.167  0.601  0.992 [4 per cell]
I  0.042  0.047  0.842 [4 per cell]
I  0.198  0.175  0.694 [4 per cell]
O  0.012  0.287  0.232 [4 per cell]
O  0.048  0.678  0.056 [4 per cell]
O  0.091  0.427  0.514 [4 per cell]
O  0.093  0.586  0.289 [4 per cell]
O  0.145  0.628  0.885 [4 per cell]
O  0.217  0.834  0.648 [4 per cell]
F  0.028  0.487  0.001 [4 per cell]
F  0.089  0.713  0.427 [4 per cell]

---

No. 4
Density functional theory data (PBEsol) for a geometry-optimized SbI2OF structure.

Properties
Its raw total energy is -2.58 eV per atom.

abc: 5.238 5.238 3.834
angles: 90.00 90.00 90.00
Space group P4/mmm (No. 123)
One atom of each set of equivalent atoms:
Sb  0.000  0.000  0.000 [1 per cell]
I  0.000  0.500  0.500 [2 per cell]
O  0.500  0.500  0.000 [1 per cell]
F  0.500  0.500  0.500 [1 per cell]

---

No. 5
Density functional theory data (PBEsol) for a geometry-optimized ScIO2F structure.

Properties
Its raw total energy is -4.64 eV per atom.

abc: 4.041 4.041 5.427
angles: 90.00 90.00 90.00
Space group P4/mmm (No. 123)
One atom of each set of equivalent atoms:
Sc  0.000  0.000  0.000 [1 per cell]
I  0.500  0.500  0.500 [1 per cell]
O  0.000  0.500  0.500 [2 per cell]
F  0.500  0.500  0.000 [1 per cell]

---

No. 6
Density functional theory data (PBEsol) for a geometry-optimized TiIO2F structure.

Properties
Its raw total energy is -4.59 eV per atom.

abc: 4.002 4.002 5.489
angles: 90.00 90.00 90.00
Space group P4/mmm (No. 123)
One atom of each set of equivalent atoms:
Ti  0.000  0.000  0.000 [1 per cell]
I  0.500  0.500  0.500 [1 per cell]
O  0.000  0.500  0.500 [2 per cell]
F  0.500  0.500  0.000 [1 per cell]

---

no.,DOS at the Fermi energy (states/eV/f.u.)
1,4.1
2,8.1
3,0.0
4,3.8
5,4.6
6,8.3